DFT (GGA-PBE) results for a relaxed structure of Pm2ScSn3Ir4.

Cell lengths 4.3301, 4.3301, 11.5229 Å; angles 90.00, 90.00, 90.00 degrees
Element x y z (fractional)
Pm (0.0000, 0.5000, 0.2386)
Pm (0.5000, 0.0000, 0.7614)
Sc (0.0000, 0.0000, 0.5000)
Sn (0.0000, 0.5000, 0.8698)
Sn (0.5000, 0.0000, 0.1302)
Sn (0.5000, 0.5000, 0.5000)
Ir (0.0000, 0.0000, 0.0000)
Ir (0.0000, 0.5000, 0.6429)
Ir (0.5000, 0.0000, 0.3571)
Ir (0.5000, 0.5000, 0.0000)

Output
- DFT formation energy: -0.64 eV/atom